The following is a GGA-PBE calculation of a geometry-optimized SrPm2Te4 structure, from the Alexandria database.

Unit cell a=9.128 b=9.128 c=9.128 alpha=119.76 beta=119.02 gamma=91.07
Sites, in units of the cell vectors:
Sr 0.000 0.000 0.000
Sr 0.500 0.000 0.500
Pm 0.000 0.500 0.500
Pm 0.500 0.000 0.000
Pm 0.500 0.500 0.000
Pm 0.500 0.500 0.500
Te 0.249 0.260 0.511
Te 0.249 0.738 0.989
Te 0.256 0.744 0.512
Te 0.268 0.256 0.012
Te 0.732 0.744 0.988
Te 0.744 0.256 0.488
Te 0.751 0.262 0.011
Te 0.751 0.740 0.489

***

The following is a GGA-PBE calculation of a geometry-optimized SrPm6Te8 structure, from the Alexandria database.

Unit cell a=8.556 b=8.556 c=8.556 alpha=93.12 beta=93.12 gamma=93.12
Sites, in units of the cell vectors:
Sr 0.000 0.000 0.000
Pm 0.193 0.559 0.403
Pm 0.403 0.193 0.559
Pm 0.441 0.597 0.807
Pm 0.559 0.403 0.193
Pm 0.597 0.807 0.441
Pm 0.807 0.441 0.597
Te 0.140 0.372 0.719
Te 0.232 0.232 0.232
Te 0.281 0.860 0.628
Te 0.372 0.719 0.140
Te 0.628 0.281 0.860
Te 0.719 0.140 0.372
Te 0.768 0.768 0.768
Te 0.860 0.628 0.281

Fermi-level density of states = 5.30 states/eV/f.u.

***

The following is a GGA-PBE calculation of a geometry-optimized SrPmTe2 structure, from the Alexandria database.

Unit cell a=8.085 b=8.085 c=8.085 alpha=32.62 beta=32.62 gamma=32.62
Sites, in units of the cell vectors:
Sr 0.000 0.000 0.000
Pm 0.500 0.500 0.500
Te 0.246 0.246 0.246
Te 0.754 0.754 0.754

Fermi-level density of states = 1.78 states/eV/f.u.

***

Q: Which total moment values were calculated for the entries above? A: 0.000; 1.822; 0.000, in Bohr magnetons per cell.
Q: Which electronic total energy values were calculated for the entries above? A: -4.901; -4.918; -4.726, in eV per atom.